CeNd4Te5: relaxed, GGA-PBE.

The value obtained for the energy relative to the elements, uncorrected is -32.7 kcal/mol of atoms. The total energy comes out at -5.488 eV/atom.

The structure belongs to space group I4/m (No. 87); the cell edges are 10.049, 10.049 and 6.368 Å and the angles 90.00°, 90.00° and 90.00°. Symmetry generates all atoms from Ce at (0.000, 0.000, 0.000), Nd at (0.096, 0.300, 0.500), Te at (0.000, 0.000, 0.500) and Te at (0.100, 0.298, 0.000).


Ce4NdTe5: relaxed, GGA-PBE.

The value obtained for the energy relative to the elements, uncorrected is -31.8 kcal/mol of atoms. The total energy comes out at -5.799 eV/atom.

The structure belongs to space group I4/mmm (No. 139); the cell edges are 4.495, 4.495 and 31.715 Å and the angles 90.00°, 90.00° and 90.00°. Symmetry generates all atoms from Ce at (0.000, 0.000, 0.100), Ce at (0.000, 0.000, 0.300), Nd at (0.000, 0.000, 0.500), Te at (0.000, 0.000, 0.000), Te at (0.000, 0.000, 0.200) and Te at (0.000, 0.000, 0.400).


Ce2NdTe5: relaxed, GGA-PBE.

The value obtained for the energy relative to the elements, uncorrected is -13.2 kcal/mol of atoms. The total energy comes out at -4.616 eV/atom.

The structure belongs to space group P4/mmm (No. 123); the cell edges are 7.545, 7.545 and 5.544 Å and the angles 90.00°, 90.00° and 90.00°. Symmetry generates all atoms from Ce at (0.000, 0.500, 0.000), Nd at (0.000, 0.000, 0.500), Te at (0.000, 0.000, 0.000) and Te at (0.284, 0.284, 0.500).


Ce3Nd2Te8: relaxed, GGA-PBE.

The value obtained for the energy relative to the elements, uncorrected is -28.8 kcal/mol of atoms. The total energy comes out at -5.283 eV/atom.

The structure belongs to space group Cmmm (No. 65); the cell edges are 10.779, 15.385 and 5.451 Å and the angles 90.00°, 90.00° and 90.00°. Symmetry generates all atoms from Ce at (0.000, 0.000, 0.000), Ce at (0.231, 0.500, 0.500), Nd at (0.000, 0.267, 0.000), Te at (0.000, 0.116, 0.500), Te at (0.000, 0.371, 0.500) and Te at (0.238, 0.123, 0.000).


Ce3NdTe6: relaxed, GGA-PBE.

The value obtained for the energy relative to the elements, uncorrected is -30.2 kcal/mol of atoms. The total energy comes out at -5.452 eV/atom.

The structure belongs to space group P2_1/c (No. 14); the cell edges are 7.494, 8.435 and 13.633 Å and the angles 90.00°, 123.29° and 90.00°. Symmetry generates all atoms from Ce at (0.000, 0.000, 0.000), Ce at (0.198, 0.119, 0.749), Nd at (0.500, 0.000, 0.500), Te at (0.077, 0.177, 0.419), Te at (0.259, 0.676, 0.419) and Te at (0.417, 0.058, 0.249).


CeNd4Te7: relaxed, GGA-PBE.

The value obtained for the energy relative to the elements, uncorrected is -32.5 kcal/mol of atoms. The total energy comes out at -5.328 eV/atom.

The structure belongs to space group Cm (No. 8); the cell edges are 14.780, 4.368 and 13.539 Å and the angles 90.00°, 104.57° and 90.00°. Symmetry generates all atoms from Ce at (0.000, 0.000, 0.000), Nd at (0.116, 0.000, 0.425), Nd at (0.233, 0.000, 0.848), Nd at (0.316, 0.500, 0.236), Nd at (0.416, 0.000, 0.614), Te at (0.078, 0.000, 0.641), Te at (0.116, 0.500, 0.923), Te at (0.154, 0.000, 0.208), Te at (0.278, 0.500, 0.473), Te at (0.357, 0.500, 0.772), Te at (0.374, 0.000, 0.077) and Te at (0.455, 0.000, 0.377).


CeNd3Te6: relaxed, GGA-PBE.

The value obtained for the energy relative to the elements, uncorrected is -28.6 kcal/mol of atoms. The value obtained for the energy above the most stable polymorph in this dataset is 0.1645 eV/atom. The total energy comes out at -5.148 eV/atom.

The structure belongs to space group C2/m (No. 12); the cell edges are 14.166, 8.645 and 7.773 Å and the angles 90.00°, 122.95° and 90.00°. Symmetry generates all atoms from Ce at (0.000, 0.000, 0.000), Nd at (0.000, 0.500, 0.500), Nd at (0.250, 0.000, 0.680), Te at (0.090, 0.250, 0.340) and Te at (0.250, 0.000, 0.079).


CeNdTe3: relaxed, GGA-PBE.

The value obtained for the energy relative to the elements, uncorrected is -29.3 kcal/mol of atoms. The value obtained for the energy above the most stable polymorph in this dataset is 0.1402 eV/atom. The total energy comes out at -5.298 eV/atom.

The structure belongs to space group C2/m (No. 12); the cell edges are 15.512, 5.963 and 9.971 Å and the angles 90.00°, 129.49° and 90.00°. Symmetry generates all atoms from Ce at (0.141, 0.000, 0.406), Nd at (0.098, 0.500, 0.851), Te at (0.123, 0.000, 0.821), Te at (0.131, 0.500, 0.208) and Te at (0.138, 0.500, 0.560).


Ce3NdTh2Te6: relaxed, GGA-PBE.

The value obtained for the energy relative to the elements, uncorrected is -29.1 kcal/mol of atoms. The total energy comes out at -5.948 eV/atom.

The structure belongs to space group C2/m (No. 12); the cell edges are 7.726, 13.360 and 7.819 Å and the angles 90.00°, 109.18° and 90.00°. Symmetry generates all atoms from Ce at (0.000, 0.000, 0.000), Ce at (0.000, 0.334, 0.000), Nd at (0.000, 0.500, 0.500), Th at (0.000, 0.167, 0.500), Te at (0.249, 0.500, 0.249) and Te at (0.250, 0.167, 0.249).


Ce3Nd4ThTe8: relaxed, GGA-PBE.

The value obtained for the energy relative to the elements, uncorrected is -31.2 kcal/mol of atoms. The total energy comes out at -5.692 eV/atom.

The structure belongs to space group R-3m (No. 166, hexagonal axes); the cell edges are 8.9475, 8.9475 and 22.1546 Å and the angles 90.00°, 90.00° and 120.00°. Symmetry generates all atoms from Ce at (0.0000, 0.5000, 0.0000), Nd at (0.0000, 0.0000, 0.5000), Nd at (0.0000, 0.5000, 0.5000), Th at (0.0000, 0.0000, 0.0000), Te at (0.0000, 0.0000, 0.2502) and Te at (0.0003, 0.5002, 0.2501).


Ce2NdThTe5: relaxed, GGA-PBE.

The value obtained for the energy relative to the elements, uncorrected is -14.0 kcal/mol of atoms. The total energy comes out at -5.024 eV/atom.

The structure belongs to space group P4/mmm (No. 123); the cell edges are 5.667, 5.667 and 11.952 Å and the angles 90.00°, 90.00° and 90.00°. Symmetry generates all atoms from Ce at (0.000, 0.000, 0.156), Nd at (0.500, 0.500, 0.000), Th at (0.500, 0.500, 0.500), Te at (0.000, 0.000, 0.500), Te at (0.000, 0.500, 0.000) and Te at (0.500, 0.500, 0.256).


Ce2NdTh3Te6: relaxed, GGA-PBE.

The value obtained for the energy relative to the elements, uncorrected is -27.6 kcal/mol of atoms. The total energy comes out at -6.009 eV/atom.

The structure belongs to space group C2/m (No. 12); the cell edges are 19.727, 4.439 and 9.019 Å and the angles 90.00°, 105.98° and 90.00°. Symmetry generates all atoms from Ce at (0.167, 0.000, 0.332), Nd at (0.000, 0.500, 0.000), Th at (0.000, 0.500, 0.500), Th at (0.165, 0.000, 0.829), Te at (0.001, 0.000, 0.249), Te at (0.167, 0.500, 0.082) and Te at (0.167, 0.500, 0.579).